[1]
! Sm2Y2Se5, optimized geometry, DFT PBE; values from VASP
&SYSTEM
  ibrav = 0, nat = 18, ntyp = 3
/
ATOMIC_SPECIES
Sm 150.36 Sm.upf
Y 88.91 Y.upf
Se 78.96 Se.upf
ATOMIC_POSITIONS angstrom
Sm 0.000 5.668 -1.705
Sm 3.869 1.717 4.535
Sm 0.000 0.883 5.853
Sm 3.869 4.833 -0.387
Y 2.661 0.988 0.626
Y 5.076 5.562 3.522
Y 6.530 2.287 1.448
Y 1.207 4.263 2.699
Se 0.000 0.000 0.000
Se 3.869 3.275 2.074
Se 1.194 1.147 3.132
Se 6.543 3.229 4.450
Se 5.063 -0.046 2.377
Se 2.674 4.422 5.205
Se 6.543 5.404 1.016
Se 1.194 3.321 -0.303
Se 2.674 6.596 1.771
Se 5.063 2.129 -1.058
CELL_PARAMETERS angstrom
7.737 0.000 0.000
0.000 7.226 -4.166
0.000 -0.676 8.314
! N(E_F) = 0.72 states/eV/atom
! total moment = 0.00 μB per cell
! E = -0.227 hartree per atom

=====

[2]
! RbCuF2, optimized geometry, DFT PBE; values from VASP
&SYSTEM
  ibrav = 0, nat = 4, ntyp = 3
/
ATOMIC_SPECIES
Cu 63.55 Cu.upf
Rb 85.47 Rb.upf
F 19.00 F.upf
ATOMIC_POSITIONS angstrom
Cu 0.000 0.000 0.000
Rb -3.209 -3.545 -2.643
F -1.605 -1.772 -1.321
F -4.814 -5.317 -3.964
CELL_PARAMETERS angstrom
-0.236 -4.098 -1.746
-3.827 -2.285 0.182
-2.355 -0.706 -3.722
! N(E_F) = 0.00 states/eV/atom
! total moment = 0.00 μB per cell
! E = -0.132 hartree per atom

=====

[3]
! RbY, optimized geometry, DFT PBE; values from VASP
&SYSTEM
  ibrav = 0, nat = 8, ntyp = 2
/
ATOMIC_SPECIES
Rb 85.47 Rb.upf
Y 88.91 Y.upf
ATOMIC_POSITIONS angstrom
Rb 2.243 2.243 2.243
Rb 2.243 6.728 6.728
Rb 6.728 2.243 6.728
Rb 6.728 6.728 2.243
Y 0.000 0.000 0.000
Y 0.000 4.485 4.485
Y 4.485 0.000 4.485
Y 4.485 4.485 0.000
CELL_PARAMETERS angstrom
8.971 0.000 0.000
0.000 8.971 0.000
0.000 0.000 8.971
! N(E_F) = 2.89 states/eV/atom
! total moment = 8.13 μB per cell
! E = -0.069 hartree per atom

=====

[4]
! Er2BeRu2, optimized geometry, DFT PBE; values from VASP
&SYSTEM
  ibrav = 0, nat = 5, ntyp = 3
/
ATOMIC_SPECIES
Er 167.26 Er.upf
Be 9.01 Be.upf
Ru 101.07 Ru.upf
ATOMIC_POSITIONS angstrom
Er -3.002 -4.627 -3.358
Er -1.216 -4.700 -0.192
Be -2.052 -1.961 -2.310
Ru -0.244 -2.070 -0.905
Ru -3.973 -7.257 -2.646
CELL_PARAMETERS angstrom
-3.252 -1.007 -0.019
-0.853 -2.915 -4.601
-0.114 -5.406 1.069
! N(E_F) = 0.29 states/eV/atom
! total moment = 0.00 μB per cell
! E = -0.246 hartree per atom

=====

[5]
! PmY3O, optimized geometry, DFT PBE; values from VASP
&SYSTEM
  ibrav = 0, nat = 10, ntyp = 3
/
ATOMIC_SPECIES
Pm 145.00 Pm.upf
Y 88.91 Y.upf
O 16.00 O.upf
ATOMIC_POSITIONS angstrom
Pm 2.379 2.227 4.979
Pm 5.214 0.053 1.425
Y 2.467 2.267 1.428
Y 2.411 5.239 6.749
Y 5.247 3.505 3.198
Y 5.303 0.014 4.975
Y 5.246 3.505 6.758
Y 2.411 5.239 3.208
O 0.983 4.398 4.978
O 3.819 4.345 1.427
CELL_PARAMETERS angstrom
5.671 0.000 0.000
0.000 6.463 0.002
0.000 0.001 7.102
! N(E_F) = 1.50 states/eV/atom
! total moment = 0.00 μB per cell
! E = -0.254 hartree per atom

=====

[6]
! ErHfAgRh, optimized geometry, DFT PBE; values from VASP
&SYSTEM
  ibrav = 0, nat = 4, ntyp = 4
/
ATOMIC_SPECIES
Rh 102.91 Rh.upf
Hf 178.49 Hf.upf
Ag 107.87 Ag.upf
Er 167.26 Er.upf
ATOMIC_POSITIONS angstrom
Rh 0.000 0.000 0.000
Hf 2.413 1.393 0.985
Ag 4.826 2.786 1.970
Er 7.239 4.180 2.955
CELL_PARAMETERS angstrom
4.826 0.000 0.000
2.413 4.180 0.000
2.413 1.393 3.941
! N(E_F) = 0.73 states/eV/atom
! total moment = 0.00 μB per cell
! E = -0.243 hartree per atom

=====

[7]
! PmErTlGa, optimized geometry, DFT PBE; values from VASP
&SYSTEM
  ibrav = 0, nat = 4, ntyp = 4
/
ATOMIC_SPECIES
Pm 145.00 Pm.upf
Er 167.26 Er.upf
Tl 204.38 Tl.upf
Ga 69.72 Ga.upf
ATOMIC_POSITIONS angstrom
Pm 1.824 1.824 0.963
Er 1.824 1.824 4.546
Tl 0.000 0.000 6.518
Ga 0.000 0.000 2.840
CELL_PARAMETERS angstrom
3.648 0.000 0.000
0.000 3.648 0.000
0.000 0.000 7.712
! N(E_F) = 0.50 states/eV/atom
! total moment = 0.00 μB per cell
! E = -0.152 hartree per atom

=====

[8]
! Ta5Mo3, optimized geometry, DFT PBE; values from VASP
&SYSTEM
  ibrav = 0, nat = 8, ntyp = 2
/
ATOMIC_SPECIES
Mo 95.94 Mo.upf
Ta 180.95 Ta.upf
ATOMIC_POSITIONS angstrom
Mo -6.110 7.790 2.815
Mo -3.503 4.178 3.593
Mo -2.626 2.601 6.340
Ta -1.748 2.081 1.821
Ta -5.277 6.278 5.523
Ta -6.959 8.284 7.249
Ta -4.409 4.724 8.196
Ta -6.091 6.730 9.922
CELL_PARAMETERS angstrom
-1.760 4.870 1.524
-4.356 2.936 1.242
-1.755 1.039 9.038
! N(E_F) = 0.81 states/eV/atom
! total moment = 0.00 μB per cell
! E = -0.427 hartree per atom

=====

[9]
! HgSb2As, optimized geometry, DFT PBE; values from VASP
&SYSTEM
  ibrav = 0, nat = 8, ntyp = 3
/
ATOMIC_SPECIES
Sb 121.76 Sb.upf
As 74.92 As.upf
Hg 200.59 Hg.upf
ATOMIC_POSITIONS angstrom
Sb 4.767 1.614 1.653
Sb 1.689 4.842 1.653
Sb 4.842 4.918 4.958
Sb 8.071 7.995 4.958
As 3.228 3.228 0.000
As 3.228 6.456 3.305
Hg 0.000 0.000 0.000
Hg 6.456 3.228 3.305
CELL_PARAMETERS angstrom
6.456 0.000 0.000
0.000 6.456 0.000
3.228 3.228 6.610
! N(E_F) = 0.88 states/eV/atom
! total moment = 0.00 μB per cell
! E = -0.114 hartree per atom

=====

[10]
! Tb5ErPt6, optimized geometry, DFT PBE; values from VASP
&SYSTEM
  ibrav = 0, nat = 12, ntyp = 3
/
ATOMIC_SPECIES
Tb 158.93 Tb.upf
Pt 195.08 Pt.upf
Er 167.26 Er.upf
ATOMIC_POSITIONS angstrom
Tb -6.949 -3.401 1.211
Tb -3.528 -3.426 0.424
Tb -0.109 -3.451 -0.364
Tb -7.057 -6.852 0.843
Tb -3.636 -6.876 0.056
Pt -5.665 -4.956 -1.101
Pt -5.556 -1.482 -0.735
Pt -2.265 -4.995 -1.861
Pt -8.320 -5.283 3.129
Pt -5.029 -8.796 2.003
Pt -4.919 -5.321 2.369
Er 0.000 0.000 0.000
CELL_PARAMETERS angstrom
-4.203 0.409 -2.627
-0.217 -6.901 -0.727
-6.165 -3.786 4.622
! N(E_F) = 0.59 states/eV/atom
! total moment = 0.00 μB per cell
! E = -0.240 hartree per atom

=====

[11]
! CaInClO2, optimized geometry, DFT PBE; values from VASP
&SYSTEM
  ibrav = 0, nat = 10, ntyp = 4
/
ATOMIC_SPECIES
Ca 40.08 Ca.upf
In 114.82 In.upf
Cl 35.45 Cl.upf
O 16.00 O.upf
ATOMIC_POSITIONS angstrom
Ca 1.924 2.306 5.322
Ca 0.466 -3.667 4.092
In 3.520 -2.375 6.504
In -1.130 1.013 2.910
Cl -1.039 -1.146 4.220
Cl 3.429 -0.215 5.194
O 3.593 3.906 6.137
O -1.203 -5.267 3.277
O 2.060 -3.590 5.687
O 0.330 2.229 3.727
CELL_PARAMETERS angstrom
-2.680 1.468 2.607
-1.248 -6.198 2.208
6.319 3.369 4.599
! N(E_F) = 0.00 states/eV/atom
! total moment = 0.00 μB per cell
! E = -0.197 hartree per atom

=====

[12]
! YAgSnRh, optimized geometry, DFT PBE; values from VASP
&SYSTEM
  ibrav = 0, nat = 4, ntyp = 4
/
ATOMIC_SPECIES
Y 88.91 Y.upf
Rh 102.91 Rh.upf
Sn 118.71 Sn.upf
Ag 107.87 Ag.upf
ATOMIC_POSITIONS angstrom
Y 1.589 -6.679 -5.637
Rh 0.000 0.000 0.000
Sn 0.530 -2.226 -1.879
Ag 1.059 -4.453 -3.758
CELL_PARAMETERS angstrom
-0.998 -1.793 -4.378
3.424 -2.330 -2.496
-0.308 -4.783 -0.641
! N(E_F) = 0.73 states/eV/atom
! total moment = 0.00 μB per cell
! E = -0.209 hartree per atom

=====

[13]
! La3GeSb, optimized geometry, DFT PBE; values from VASP
&SYSTEM
  ibrav = 0, nat = 10, ntyp = 3
/
ATOMIC_SPECIES
La 138.91 La.upf
Ge 72.64 Ge.upf
Sb 121.76 Sb.upf
ATOMIC_POSITIONS angstrom
La 0.000 0.725 8.669
La 2.287 5.445 2.890
La 0.000 4.313 6.442
La 2.287 1.857 5.117
La 2.287 1.857 0.663
La 0.000 4.313 10.896
Ge 0.000 0.000 5.779
Ge 0.000 0.000 0.000
Sb 0.000 2.993 2.890
Sb 2.287 3.177 8.669
CELL_PARAMETERS angstrom
4.573 0.000 0.000
-2.287 6.170 0.000
0.000 0.000 11.559
! N(E_F) = 0.80 states/eV/atom
! total moment = 1.84 μB per cell
! E = -0.205 hartree per atom

=====

[14]
! NaEu2Zn, optimized geometry, DFT PBE; values from VASP
&SYSTEM
  ibrav = 0, nat = 4, ntyp = 3
/
ATOMIC_SPECIES
Eu 151.96 Eu.upf
Na 22.99 Na.upf
Zn 65.41 Zn.upf
ATOMIC_POSITIONS angstrom
Eu -2.318 0.649 2.481
Eu -6.954 1.948 7.444
Na 0.000 0.000 0.000
Zn -4.636 1.299 4.963
CELL_PARAMETERS angstrom
-5.481 0.801 1.093
-2.216 -1.874 4.843
-1.576 3.670 3.990
! N(E_F) = 3.25 states/eV/atom
! total moment = 14.90 μB per cell
! E = -0.213 hartree per atom

=====

[15]
! Zr2U2S7, optimized geometry, DFT PBE; values from VASP
&SYSTEM
  ibrav = 0, nat = 11, ntyp = 3
/
ATOMIC_SPECIES
Zr 91.22 Zr.upf
U 238.03 U.upf
S 32.06 S.upf
ATOMIC_POSITIONS angstrom
Zr 1.864 7.135 1.603
Zr 3.728 5.247 4.765
U 5.592 9.547 4.769
U 1.864 3.204 0.980
S 3.728 1.607 2.077
S 5.592 6.644 6.038
S 3.728 3.863 7.082
S 3.728 5.152 2.087
S 3.728 7.649 3.578
S 3.728 9.339 6.695
S 1.864 3.463 4.138
CELL_PARAMETERS angstrom
3.728 0.000 0.000
1.864 8.102 -0.016
1.864 3.828 7.141
! N(E_F) = 1.35 states/eV/atom
! total moment = 5.15 μB per cell
! E = -0.282 hartree per atom

=====

[16]
! Li6CaGa2, optimized geometry, DFT PBE; values from VASP
&SYSTEM
  ibrav = 0, nat = 9, ntyp = 3
/
ATOMIC_SPECIES
Li 6.94 Li.upf
Ca 40.08 Ca.upf
Ga 69.72 Ga.upf
ATOMIC_POSITIONS angstrom
Li -2.792 -1.306 1.848
Li -3.357 -0.712 -1.069
Li -6.956 -0.621 2.794
Li -7.521 -0.027 -0.123
Li -5.452 -2.133 0.621
Li -4.860 0.799 1.104
Ca 0.000 0.000 0.000
Ga -1.807 -2.732 -0.207
Ga -9.097 -1.533 1.449
CELL_PARAMETERS angstrom
-1.157 -2.338 -3.400
-0.027 -3.526 2.434
-9.721 1.599 2.208
! N(E_F) = 0.20 states/eV/atom
! total moment = 0.00 μB per cell
! E = -0.086 hartree per atom

=====

[17]
! LiNb2S6, optimized geometry, DFT PBE; values from VASP
&SYSTEM
  ibrav = 0, nat = 9, ntyp = 3
/
ATOMIC_SPECIES
Li 6.94 Li.upf
Nb 92.91 Nb.upf
S 32.06 S.upf
ATOMIC_POSITIONS angstrom
Li 2.332 3.621 2.640
Nb 4.665 5.676 5.015
Nb 4.665 1.567 0.264
S 6.997 4.909 5.389
S 2.332 2.333 -0.110
S 6.997 5.983 0.537
S 4.665 4.673 2.652
S 2.332 1.259 4.742
S 4.665 2.569 2.627
CELL_PARAMETERS angstrom
4.665 0.000 0.000
2.332 6.221 -1.207
2.332 1.021 6.486
! N(E_F) = 0.46 states/eV/atom
! total moment = 0.50 μB per cell
! E = -0.218 hartree per atom

=====

[18]
! LiBiRu2C, optimized geometry, DFT PBE; values from VASP
&SYSTEM
  ibrav = 0, nat = 5, ntyp = 4
/
ATOMIC_SPECIES
Ru 101.07 Ru.upf
C 12.01 C.upf
Bi 208.98 Bi.upf
Li 6.94 Li.upf
ATOMIC_POSITIONS angstrom
Ru 0.000 0.000 2.529
Ru 2.529 0.000 0.000
C 2.529 2.510 2.529
Bi 0.000 0.000 0.000
Li 0.000 2.510 0.000
CELL_PARAMETERS angstrom
5.058 0.000 0.000
0.000 5.020 0.000
0.000 0.000 5.058
! N(E_F) = 1.00 states/eV/atom
! total moment = 2.15 μB per cell
! E = -0.149 hartree per atom

=====

[19]
! ZnRu2Rh, optimized geometry, DFT PBE; values from VASP
&SYSTEM
  ibrav = 0, nat = 4, ntyp = 3
/
ATOMIC_SPECIES
Rh 102.91 Rh.upf
Ru 101.07 Ru.upf
Zn 65.41 Zn.upf
ATOMIC_POSITIONS angstrom
Rh 4.438 -2.234 -3.429
Ru 0.684 0.218 -2.660
Ru 1.243 -1.969 -1.306
Zn 3.239 -0.273 -2.117
CELL_PARAMETERS angstrom
-0.612 -3.692 -0.460
0.612 0.232 -2.676
5.791 -0.764 -1.574
! N(E_F) = 0.88 states/eV/atom
! total moment = 0.00 μB per cell
! E = -0.250 hartree per atom

=====

[20]
! PrPuIrPt, optimized geometry, DFT PBE; values from VASP
&SYSTEM
  ibrav = 0, nat = 4, ntyp = 4
/
ATOMIC_SPECIES
Pr 140.91 Pr.upf
Ir 192.22 Ir.upf
Pt 195.08 Pt.upf
Pu 244.00 Pu.upf
ATOMIC_POSITIONS angstrom
Pr -4.135 -1.139 4.375
Ir -2.068 -0.569 2.188
Pt -6.203 -1.708 6.563
Pu 0.000 0.000 0.000
CELL_PARAMETERS angstrom
-3.576 2.010 2.863
-4.051 -2.682 1.193
-0.643 -1.606 4.694
! N(E_F) = 2.74 states/eV/atom
! total moment = 5.26 μB per cell
! E = -0.336 hartree per atom

=====

[21]
! UCoIr, optimized geometry, DFT PBE; values from VASP
&SYSTEM
  ibrav = 0, nat = 6, ntyp = 3
/
ATOMIC_SPECIES
Ir 192.22 Ir.upf
U 238.03 U.upf
Co 58.93 Co.upf
ATOMIC_POSITIONS angstrom
Ir -3.019 0.897 4.115
Ir -1.802 0.766 6.478
U -1.676 0.467 1.734
U -3.145 1.197 8.859
Co -4.458 1.338 6.308
Co -0.362 0.325 4.285
CELL_PARAMETERS angstrom
-2.596 2.731 1.488
-3.461 -1.220 1.715
1.237 0.153 7.390
! N(E_F) = 1.21 states/eV/atom
! total moment = 3.05 μB per cell
! E = -0.339 hartree per atom

=====

[22]
! ThZn2Co2C, optimized geometry, DFT PBE; values from VASP
&SYSTEM
  ibrav = 0, nat = 6, ntyp = 4
/
ATOMIC_SPECIES
Th 232.04 Th.upf
Zn 65.41 Zn.upf
Co 58.93 Co.upf
C 12.01 C.upf
ATOMIC_POSITIONS angstrom
Th 1.987 1.987 0.000
Zn 0.000 1.987 3.027
Zn 1.987 0.000 3.027
Co 1.987 1.987 4.346
Co 0.000 0.000 1.709
C 0.000 0.000 0.000
CELL_PARAMETERS angstrom
3.974 0.000 0.000
0.000 3.974 0.000
-1.987 -1.987 6.055
! N(E_F) = 1.01 states/eV/atom
! total moment = 0.00 μB per cell
! E = -0.207 hartree per atom

=====

[23]
! KAlS2, optimized geometry, DFT PBE; values from VASP
&SYSTEM
  ibrav = 0, nat = 8, ntyp = 3
/
ATOMIC_SPECIES
K 39.10 K.upf
S 32.06 S.upf
Al 26.98 Al.upf
ATOMIC_POSITIONS angstrom
K 1.820 8.320 1.580
K 1.820 -8.320 4.739
S 1.820 5.555 1.580
S 1.820 -5.555 4.739
S 1.820 -7.526 1.580
S 1.820 7.526 4.739
Al 1.820 3.460 1.580
Al 1.820 -3.460 4.739
CELL_PARAMETERS angstrom
1.820 -9.532 0.000
1.820 9.532 0.000
0.000 0.000 6.318
! N(E_F) = 0.01 states/eV/atom
! total moment = 0.00 μB per cell
! E = -0.148 hartree per atom

=====

[24]
! KNaTe3, optimized geometry, DFT PBE; values from VASP
&SYSTEM
  ibrav = 0, nat = 5, ntyp = 3
/
ATOMIC_SPECIES
Na 22.99 Na.upf
K 39.10 K.upf
Te 127.60 Te.upf
ATOMIC_POSITIONS angstrom
Na 3.043 3.043 3.043
K 0.000 0.000 0.000
Te 0.000 3.043 0.000
Te 0.000 0.000 3.043
Te 3.043 0.000 0.000
CELL_PARAMETERS angstrom
6.085 0.000 0.000
0.000 6.085 0.000
0.000 0.000 6.085
! N(E_F) = 1.41 states/eV/atom
! total moment = 0.00 μB per cell
! E = -0.075 hartree per atom

=====

[25]
! Tm2MgRe, optimized geometry, DFT PBE; values from VASP
&SYSTEM
  ibrav = 0, nat = 4, ntyp = 3
/
ATOMIC_SPECIES
Re 186.21 Re.upf
Mg 24.30 Mg.upf
Tm 168.93 Tm.upf
ATOMIC_POSITIONS angstrom
Re 0.000 0.000 0.000
Mg 0.620 2.012 5.693
Tm 0.310 1.006 2.846
Tm 0.929 3.018 8.539
CELL_PARAMETERS angstrom
-1.149 3.650 3.149
-0.866 -1.025 4.771
3.255 1.399 3.465
! N(E_F) = 0.65 states/eV/atom
! total moment = 0.00 μB per cell
! E = -0.209 hartree per atom

=====

[26]
! NpBiPdAu, optimized geometry, DFT PBE; values from VASP
&SYSTEM
  ibrav = 0, nat = 4, ntyp = 4
/
ATOMIC_SPECIES
Np 237.00 Np.upf
Au 196.97 Au.upf
Bi 208.98 Bi.upf
Pd 106.42 Pd.upf
ATOMIC_POSITIONS angstrom
Np -6.456 1.954 -6.291
Au 0.000 0.000 0.000
Bi -4.304 1.303 -4.194
Pd -2.152 0.651 -2.097
CELL_PARAMETERS angstrom
-0.980 2.548 -4.214
-3.083 -1.947 -3.452
-4.546 2.004 -0.722
! N(E_F) = 3.42 states/eV/atom
! total moment = 4.06 μB per cell
! E = -0.235 hartree per atom